1 | The following is a PBE-GGA calculation of a relaxed RbSrHo crystal, from OQMD via LeMat-Bulk.

## Properties
Space group: F-43m
Crystal system: cubic

POSCAR file:
```
RbSrHo
1.0
0.000 4.432 4.432
4.432 0.000 4.432
4.432 4.432 0.000
Rb Sr Ho
1 1 1
direct
0.000 0.000 0.000
0.250 0.250 0.250
0.750 0.750 0.750
```

=====

2 | The following is a PBE-GGA calculation of a relaxed RbSrHo crystal, from OQMD via LeMat-Bulk.

## Properties
Space group: F-43m
Crystal system: cubic

POSCAR file:
```
RbSrHo
1.0
0.000 4.568 4.568
4.568 0.000 4.568
4.568 4.568 0.000
Rb Sr Ho
1 1 1
direct
0.000 0.000 0.000
0.500 0.500 0.500
0.250 0.250 0.250
```

=====

Which of them is most stable, and which least? Most stable: 2; least stable: 1.

=====

1 | The following is a PBE-GGA calculation of a relaxed Ho5ReTe3 crystal, from OQMD via LeMat-Bulk.

## Properties
Space group: P-62m
Crystal system: hexagonal

POSCAR file:
```
Ho5ReTe3
1.0
8.710 0.000 0.000
-4.355 7.543 0.000
0.000 0.000 3.714
Ho Re Te
5 1 3
direct
0.000 0.234 0.000
0.234 0.000 0.000
0.333 0.667 0.000
0.667 0.333 0.000
0.766 0.766 0.000
0.000 0.000 0.500
0.000 0.574 0.500
0.426 0.426 0.500
0.574 0.000 0.500
```

=====

2 | The following is a PBE-GGA calculation of a relaxed Ho5ReTe3 crystal, from OQMD via LeMat-Bulk.

## Properties
Space group: P-62m
Crystal system: hexagonal

POSCAR file:
```
Ho5ReTe3
1.0
8.150 0.000 0.000
-4.075 7.058 0.000
0.000 0.000 4.209
Ho Re Te
5 1 3
direct
0.000 0.659 0.000
0.333 0.667 0.500
0.341 0.341 0.000
0.659 0.000 0.000
0.667 0.333 0.500
0.000 0.000 0.000
0.000 0.250 0.500
0.250 0.000 0.500
0.750 0.750 0.500
```

=====

Which of them is most stable, and which least? Most stable: 1; least stable: 2.

=====

1 | The following is a PBE-GGA calculation of a relaxed HoSc crystal, from OQMD via LeMat-Bulk.

## Properties
Space group: F-43m
Crystal system: cubic

POSCAR file:
```
HoSc
1.0
0.000 3.272 3.272
3.272 0.000 3.272
3.272 3.272 0.000
Ho Sc
1 1
direct
0.000 0.000 0.000
0.750 0.750 0.750
```

=====

2 | The following is a PBE-GGA calculation of a relaxed HoSc crystal, from OQMD via LeMat-Bulk.

## Properties
Space group: P-6m2
Crystal system: hexagonal

POSCAR file:
```
HoSc
1.0
3.439 0.000 0.000
-1.720 2.979 0.000
0.000 0.000 5.365
Ho Sc
1 1
direct
0.000 0.000 0.000
0.667 0.333 0.500
```

=====

3 | The following is a PBE-GGA calculation of a relaxed HoSc crystal, from OQMD via LeMat-Bulk.

## Properties
Space group: Fm-3m
Crystal system: cubic

POSCAR file:
```
HoSc
1.0
0.000 3.072 3.072
3.072 0.000 3.072
3.072 3.072 0.000
Ho Sc
1 1
direct
0.000 0.000 0.000
0.500 0.500 0.500
```

=====

Which of them is most stable, and which least? Most stable: 2; least stable: 1.

=====

1 | The following is a PBE-GGA calculation of a relaxed HoScZn2Sn2 crystal, from OQMD via LeMat-Bulk.

## Properties
Space group: P6_3/mmc
Crystal system: hexagonal

POSCAR file:
```
HoScZn2Sn2
1.0
4.445 0.000 0.000
-2.223 3.850 0.000
0.000 0.000 15.397
Ho Sc Zn Sn
2 2 4 4
direct
0.000 0.000 0.000
0.000 0.000 0.500
0.000 0.000 0.250
0.000 0.000 0.750
0.333 0.667 0.164
0.333 0.667 0.336
0.667 0.333 0.664
0.667 0.333 0.836
0.333 0.667 0.616
0.333 0.667 0.884
0.667 0.333 0.116
0.667 0.333 0.384
```

=====

2 | The following is a PBE-GGA calculation of a relaxed HoScZn2Sn2 crystal, from OQMD via LeMat-Bulk.

## Properties
Space group: P6_3/mmc
Crystal system: hexagonal

POSCAR file:
```
HoScZn2Sn2
1.0
4.476 0.000 0.000
-2.238 3.876 0.000
0.000 0.000 15.046
Ho Sc Zn Sn
2 2 4 4
direct
0.000 0.000 0.250
0.000 0.000 0.750
0.000 0.000 0.000
0.000 0.000 0.500
0.333 0.667 0.157
0.333 0.667 0.343
0.667 0.333 0.657
0.667 0.333 0.843
0.333 0.667 0.606
0.333 0.667 0.894
0.667 0.333 0.106
0.667 0.333 0.394
```

=====

Which of them is most stable, and which least? Most stable: 1; least stable: 2.

=====

1 | The following is a PBE-GGA calculation of a relaxed HoScTa crystal, from OQMD via LeMat-Bulk.

## Properties
Space group: F-43m
Crystal system: cubic

POSCAR file:
```
HoScTa
1.0
0.000 3.415 3.415
3.415 0.000 3.415
3.415 3.415 0.000
Ho Sc Ta
1 1 1
direct
0.000 0.000 0.000
0.250 0.250 0.250
0.500 0.500 0.500
```

=====

2 | The following is a PBE-GGA calculation of a relaxed HoScTa crystal, from OQMD via LeMat-Bulk.

## Properties
Space group: F-43m
Crystal system: cubic

POSCAR file:
```
HoScTa
1.0
0.000 3.419 3.419
3.419 0.000 3.419
3.419 3.419 0.000
Ho Sc Ta
1 1 1
direct
0.000 0.000 0.000
0.750 0.750 0.750
0.250 0.250 0.250
```

=====

Which of them is most stable, and which least? Most stable: 1; least stable: 2.

=====

1 | The following is a PBE-GGA calculation of a relaxed HoScW crystal, from OQMD via LeMat-Bulk.

## Properties
Space group: F-43m
Crystal system: cubic

POSCAR file:
```
HoScW
1.0
0.000 3.329 3.329
3.329 0.000 3.329
3.329 3.329 0.000
Ho Sc W
1 1 1
direct
0.000 0.000 0.000
0.500 0.500 0.500
0.250 0.250 0.250
```

=====

2 | The following is a PBE-GGA calculation of a relaxed HoScW crystal, from OQMD via LeMat-Bulk.

## Properties
Space group: F-43m
Crystal system: cubic

POSCAR file:
```
HoScW
1.0
0.000 3.354 3.354
3.354 0.000 3.354
3.354 3.354 0.000
Ho Sc W
1 1 1
direct
0.000 0.000 0.000
0.750 0.750 0.750
0.250 0.250 0.250
```

=====

Which of them is most stable, and which least? Most stable: 1; least stable: 2.

=====

1 | The following is a PBE-GGA calculation of a relaxed SmHoZn2Sn2 crystal, from OQMD via LeMat-Bulk.

## Properties
Space group: P6_3/mmc
Crystal system: hexagonal

POSCAR file:
```
SmHoZn2Sn2
1.0
4.532 0.000 0.000
-2.266 3.924 0.000
0.000 0.000 15.894
Sm Ho Zn Sn
2 2 4 4
direct
0.000 0.000 0.250
0.000 0.000 0.750
0.000 0.000 0.000
0.000 0.000 0.500
0.333 0.667 0.157
0.333 0.667 0.343
0.667 0.333 0.657
0.667 0.333 0.843
0.333 0.667 0.611
0.333 0.667 0.889
0.667 0.333 0.111
0.667 0.333 0.389
```

=====

2 | The following is a PBE-GGA calculation of a relaxed SmHoZn2Sn2 crystal, from OQMD via LeMat-Bulk.

## Properties
Space group: P6_3/mmc
Crystal system: hexagonal

POSCAR file:
```
SmHoZn2Sn2
1.0
4.517 0.000 0.000
-2.259 3.912 0.000
0.000 0.000 15.987
Sm Ho Zn Sn
2 2 4 4
direct
0.000 0.000 0.000
0.000 0.000 0.500
0.000 0.000 0.250
0.000 0.000 0.750
0.333 0.667 0.161
0.333 0.667 0.339
0.667 0.333 0.661
0.667 0.333 0.839
0.333 0.667 0.617
0.333 0.667 0.883
0.667 0.333 0.117
0.667 0.333 0.383
```

=====

Which of them is most stable, and which least? Most stable: 2; least stable: 1.

=====

1 | The following is a PBE-GGA calculation of a relaxed SmHoTlTe3 crystal, from OQMD via LeMat-Bulk.

## Properties
Space group: Cmcm
Crystal system: orthorhombic

POSCAR file:
```
SmHoTlTe3
1.0
2.211 -7.648 0.000
2.211 7.648 0.000
0.000 0.000 12.117
Sm Ho Tl Te
2 2 2 6
direct
0.073 0.927 0.750
0.927 0.073 0.250
0.500 0.500 0.000
0.500 0.500 0.500
0.241 0.759 0.250
0.759 0.241 0.750
0.143 0.857 0.520
0.143 0.857 0.980
0.437 0.563 0.750
0.563 0.437 0.250
0.857 0.143 0.020
0.857 0.143 0.480
```

=====

2 | The following is a PBE-GGA calculation of a relaxed SmHoTlTe3 crystal, from OQMD via LeMat-Bulk.

## Properties
Space group: Cmcm
Crystal system: orthorhombic

POSCAR file:
```
SmHoTlTe3
1.0
2.250 -7.674 0.000
2.250 7.674 0.000
0.000 0.000 12.146
Sm Ho Tl Te
2 2 2 6
direct
0.000 0.000 0.000
0.000 0.000 0.500
0.439 0.561 0.750
0.561 0.439 0.250
0.253 0.747 0.250
0.747 0.253 0.750
0.066 0.934 0.750
0.356 0.644 0.534
0.356 0.644 0.966
0.644 0.356 0.034
0.644 0.356 0.466
0.934 0.066 0.250
```

=====

Which of them is most stable, and which least? Most stable: 2; least stable: 1.